4
Lattice="3.600 0.000 0.000 0.000 3.600 0.000 0.000 0.000 8.776" Properties=species:S:1:pos:R:3 comment="NdSm2Cu, relaxed, DFT GGA-PBE" m_tot_mub_per_cell=0.00 de_polymorph_mev_per_atom=0 delta_e_f_mev_per_atom=-71 space_group="P4/mmm (123)" dos_ef_per_ev_fu=4.27 pbc="T T T"
Nd 0.000 0.000 0.000
Sm 1.800 1.800 2.678
Sm 1.800 1.800 6.098
Cu 0.000 0.000 4.388